Nd3Y2Tl | PBE-GGA | optimized geometry

The structure belongs to space group C2/m (No. 12); the cell edges are 6.2373, 10.8231 and 11.7716 Å and the angles 90.00°, 100.26° and 90.00°. The asymmetric unit holds Nd at (0.2429, 0.0000, 0.2463), Nd at (0.2499, 0.1695, 0.7538), Y at (0.0000, 0.0000, 0.5000), Y at (0.0000, 0.3353, 0.5000), Y at (0.0000, 0.5000, 0.0000) and Tl at (0.0000, 0.1662, 0.0000).

As for the formation energy: -21 kJ/mol of formula units. As for the volume: 195.49 Å³/f.u.

***

Nd2YTl | PBE-GGA | optimized geometry

The structure belongs to space group P2_1/m (No. 11); the cell edges are 6.8958, 5.4052 and 6.9963 Å and the angles 90.00°, 103.29° and 90.00°. The asymmetric unit holds Nd at (0.0922, 0.2500, 0.3928), Nd at (0.3678, 0.7500, 0.2574), Y at (0.1714, 0.2500, 0.9179) and Tl at (0.3845, 0.7500, 0.7503).

As for the formation energy: -81 kJ/mol of formula units. As for the volume: 126.89 Å³/f.u. The value obtained for the polymorph energy (0 for the lowest one) is 0 meV per atom.